Entry 1:
{"formula": "BaEuBiI", "functional": "PBE", "state": "optimized geometry", "raw_formation_energy_mev_per_atom": -1096.1, "dos_at_fermi_per_ev_cell": 8.77, "e_tot_ev_per_atom": -5.503, "lattice_angstrom": [[5.9872, 0.0000, 0.0000], [2.9936, 5.1850, 0.0000], [2.9936, 1.7283, 4.8885]], "species": ["Ba", "I", "Bi", "Eu"], "fractional_positions": [[0.7500, 0.7500, 0.7500], [0.0000, 0.0000, 0.0000], [0.5000, 0.5000, 0.5000], [0.2500, 0.2500, 0.2500]]}

Entry 2:
{"formula": "AlAgBi", "functional": "PBE", "state": "optimized geometry", "e_form_ev_per_atom": 0.1888, "dos_at_fermi_per_ev_cell": 1.87, "relative_energy_mev_per_atom": 131, "e_tot_ev_per_atom": -3.303, "lattice_angstrom": [[-1.9849, -1.2657, -2.2645], [-0.5772, -0.5957, 3.1948], [-8.5032, 12.0602, 0.7126]], "species": ["Bi", "Bi", "Ag", "Ag", "Al", "Al"], "fractional_positions": [[0.2118, 0.4236, 0.8140], [0.2118, 0.4236, 0.1860], [0.6656, 0.3312, 0.6309], [0.6656, 0.3312, 0.3691], [0.5799, 0.1598, 0.0000], [0.3319, 0.6638, 0.5000]]}

Entry 3:
{"formula": "Ba6As3Se", "functional": "PBE", "state": "optimized geometry", "raw_formation_energy_mev_per_atom": -1157.7, "dos_at_fermi_per_ev_cell": 7.09, "e_tot_ev_per_atom": -4.055, "lattice_angstrom": [[-7.5943, -1.0022, 2.0530], [-1.7870, -2.9877, -8.0687], [2.5627, -11.2076, 3.5823]], "species": ["Ba", "Ba", "Ba", "Ba", "Ba", "Ba", "Ba", "Ba", "Ba", "Ba", "Ba", "Ba", "As", "As", "As", "As", "As", "As", "Se", "Se"], "fractional_positions": [[0.6821, 0.1852, 0.5838], [0.8417, 0.9349, 0.2529], [0.1583, 0.0651, 0.7471], [0.6802, 0.1913, 0.9164], [0.8179, 0.6852, 0.9162], [0.1802, 0.3087, 0.4164], [0.3179, 0.8148, 0.4162], [0.3417, 0.5651, 0.7529], [0.8198, 0.6913, 0.5836], [0.1821, 0.3148, 0.0838], [0.6583, 0.4349, 0.2471], [0.3198, 0.8087, 0.0836], [0.5498, 0.9021, 0.7502], [0.5000, 0.5000, 0.0000], [0.9502, 0.4021, 0.7498], [0.0000, 0.0000, 0.5000], [0.0498, 0.5979, 0.2502], [0.4502, 0.0979, 0.2498], [0.5000, 0.5000, 0.5000], [0.0000, 0.0000, 0.0000]]}

Entry 4:
{"formula": "PuMg2Cd10", "functional": "PBE", "state": "optimized geometry", "e_form_ev_per_atom": -0.0507, "dos_at_fermi_per_ev_cell": 20.18, "e_tot_ev_per_atom": -2.102, "lattice_angstrom": [[5.5487, 0.0000, 2.2622], [2.7743, 7.0658, 1.1311], [0.1226, 0.0000, 7.6353]], "species": ["Mg", "Mg", "Cd", "Cd", "Cd", "Cd", "Cd", "Cd", "Cd", "Cd", "Cd", "Cd", "Pu"], "fractional_positions": [[0.5000, 0.5000, 0.0000], [0.0000, 0.5000, 0.0000], [0.9965, 0.3513, 0.6558], [0.4982, 0.2154, 0.7882], [0.3477, 0.6487, 0.6558], [0.7136, 0.7846, 0.7882], [0.5018, 0.7846, 0.2118], [0.0035, 0.6487, 0.3442], [0.5000, 0.0000, 0.5000], [0.6523, 0.3513, 0.3442], [0.0000, 0.0000, 0.5000], [0.2864, 0.2154, 0.2118], [0.0000, 0.0000, 0.0000]]}

Entry 5:
{"formula": "Mg2Ni6C", "functional": "PBE", "state": "optimized geometry", "e_form_ev_per_atom": -0.2153, "dos_at_fermi_per_ev_cell": 1.72, "e_tot_ev_per_atom": -5.449, "lattice_angstrom": [[4.5344, 0.0022, 2.6172], [1.5100, 4.2756, 2.6172], [0.0012, 0.0009, 5.2357]], "species": ["Ni", "Ni", "Ni", "Ni", "Ni", "Ni", "C", "Mg", "Mg"], "fractional_positions": [[0.2438, 0.7561, 0.7562], [0.2439, 0.7562, 0.2438], [0.7562, 0.7562, 0.2440], [0.7562, 0.2439, 0.2438], [0.7561, 0.2438, 0.7562], [0.2438, 0.2438, 0.7560], [0.5000, 0.5000, 0.5000], [0.2500, 0.2500, 0.2499], [0.7500, 0.7500, 0.7501]]}

Entry 6:
{"formula": "FeCu2Mo", "functional": "PBE", "state": "optimized geometry", "e_form_ev_per_atom": 0.2647, "dos_at_fermi_per_ev_cell": 3.05, "relative_energy_mev_per_atom": 110, "e_tot_ev_per_atom": -6.607, "lattice_angstrom": [[-1.7558, 2.6995, -3.1114], [-1.3426, -2.5139, -3.4537], [-0.8101, -0.3725, 4.3881]], "species": ["Fe", "Mo", "Cu", "Cu"], "fractional_positions": [[0.5004, 0.5004, 0.0000], [0.2494, 0.7494, 0.5000], [0.7500, 0.2500, 0.5000], [0.0002, 0.0002, 0.0000]]}

Entry 7:
{"formula": "Tb2HoScSb4", "functional": "PBE", "state": "optimized geometry", "raw_formation_energy_mev_per_atom": -1076.2, "dos_at_fermi_per_ev_cell": 1.21, "e_tot_ev_per_atom": -5.659, "lattice_angstrom": [[-0.6361, 1.6665, -3.9580], [-3.7173, -6.2115, -2.0179], [-4.8260, 4.9854, 2.8746]], "species": ["Tb", "Tb", "Sb", "Sb", "Sb", "Sb", "Ho", "Sc"], "fractional_positions": [[0.0000, 0.5000, 0.5000], [0.5000, 0.0000, 0.5000], [0.0000, 0.2464, 0.7568], [0.5000, 0.7597, 0.7613], [0.5000, 0.2403, 0.2387], [0.0000, 0.7536, 0.2432], [0.5000, 0.5000, 0.0000], [0.0000, 0.0000, 0.0000]]}

Entry 8:
{"formula": "MgTe2Au", "functional": "PBE", "state": "optimized geometry", "raw_formation_energy_mev_per_atom": 56.5, "dos_at_fermi_per_ev_cell": 1.14, "e_tot_ev_per_atom": -2.732, "lattice_angstrom": [[-1.2926, -4.4147, 2.3704], [3.6764, -3.0036, 2.0595], [0.4352, -0.4000, 5.1410]], "species": ["Mg", "Au", "Te", "Te"], "fractional_positions": [[0.7500, 0.7500, 0.7500], [0.5000, 0.5000, 0.5000], [0.2500, 0.2500, 0.2500], [0.0000, 0.0000, 0.0000]]}